Entry 1:
Ta2TeAuI | GGA-PBE | relaxed

Geometry as extended XYZ:
```
5
Lattice="5.108 0.000 0.000 0.000 5.890 0.000 0.000 0.000 5.108" Properties=species:S:1:pos:R:3 pbc="T T T"
I 0.000 2.945 0.000
Te 0.000 0.000 0.000
Au 2.554 2.945 2.554
Ta 0.000 0.000 2.554
Ta 2.554 0.000 0.000
```

M_tot in μB/f.u.: 1.24
Calculated total energy in eV/atom: -4.4200
Energy relative to the elements, uncorrected in meV per atom: 1915


Entry 2:
TaTeAuI2 | GGA-PBE | relaxed

Geometry as extended XYZ:
```
5
Lattice="5.433 0.000 0.000 0.000 5.433 0.000 0.000 0.000 5.578" Properties=species:S:1:pos:R:3 pbc="T T T"
I 0.000 2.717 0.000
I 2.717 0.000 0.000
Te 0.000 0.000 2.789
Au 0.000 0.000 0.000
Ta 2.717 2.717 2.789
```

M_tot in μB/f.u.: 2.90
Calculated total energy in eV/atom: -3.0725
Energy relative to the elements, uncorrected in meV per atom: 1202
Relative energy among the computed polymorphs in meV per atom: 730.1


Entry 3:
TaTeAuI2 | GGA-PBE | relaxed

Geometry as extended XYZ:
```
5
Lattice="-5.380 -1.174 -0.498 0.324 -3.344 4.392 -1.201 4.132 3.234" Properties=species:S:1:pos:R:3 pbc="T T T"
I 0.162 -1.672 2.196
I -2.690 -0.587 -0.249
Te -0.600 2.066 1.617
Au -3.129 -0.193 3.564
Ta 0.000 0.000 0.000
```

M_tot in μB/f.u.: 0.00
Calculated total energy in eV/atom: -3.8026
Energy relative to the elements, uncorrected in meV per atom: 472
Relative energy among the computed polymorphs in meV per atom: 0.0


Entry 4:
TaTe2AuI | GGA-PBE | relaxed

Geometry as extended XYZ:
```
5
Lattice="-2.150 -4.510 -1.950 -1.280 -1.541 4.975 -4.950 2.567 -0.478" Properties=species:S:1:pos:R:3 pbc="T T T"
I -2.475 1.283 -0.239
Te -0.640 -0.771 2.487
Te -1.075 -2.255 -0.975
Au -4.190 -1.742 1.273
Ta 0.000 0.000 0.000
```

M_tot in μB/f.u.: 0.00
Calculated total energy in eV/atom: -4.1332
Energy relative to the elements, uncorrected in meV per atom: 459
Relative energy among the computed polymorphs in meV per atom: 0.0


Entry 5:
Ta2TlAuI | GGA-PBE | relaxed

Geometry as extended XYZ:
```
5
Lattice="-1.502 4.882 0.545 -5.557 -1.795 0.761 0.797 -0.320 5.064" Properties=species:S:1:pos:R:3 pbc="T T T"
I -2.778 -0.897 0.381
Tl -3.131 1.383 3.185
Au 0.000 0.000 0.000
Ta 0.399 -0.160 2.532
Ta -0.751 2.441 0.273
```

M_tot in μB/f.u.: 3.43
Calculated total energy in eV/atom: -4.5632
Energy relative to the elements, uncorrected in meV per atom: 1617


Entry 6:
Tb3AuI7 | GGA-PBE | relaxed

Geometry as extended XYZ:
```
11
Lattice="-0.063 -2.017 -7.173 -7.132 -4.650 1.370 -0.632 8.281 -2.323" Properties=species:S:1:pos:R:3 pbc="T T T"
Tb -3.911 0.287 -6.061
Tb -4.221 4.352 -7.201
Tb -0.410 2.570 -6.734
Au -2.834 2.830 -5.148
I -1.730 6.055 -1.853
I -1.419 1.967 -0.707
I -4.967 -0.393 -0.048
I -6.085 -3.593 -3.137
I -2.513 -1.264 -3.824
I -6.401 0.554 -4.301
I -5.251 3.759 -1.177
```

M_tot in μB/f.u.: 0.02
Calculated total energy in eV/atom: -3.7240
Energy relative to the elements, uncorrected in meV per atom: -1177


Entry 7:
Tb2AuI2 | GGA-PBE | relaxed

Geometry as extended XYZ:
```
5
Lattice="-0.943 1.923 3.525 -3.855 1.303 0.671 -4.288 -9.476 6.435" Properties=species:S:1:pos:R:3 pbc="T T T"
Tb -3.590 0.613 3.531
Tb -5.496 -6.864 7.100
Au 0.000 0.000 0.000
I -2.462 -2.310 3.015
I -6.624 -3.940 7.616
```

M_tot in μB/f.u.: 0.00
Calculated total energy in eV/atom: -4.2142
Energy relative to the elements, uncorrected in meV per atom: -1087


Entry 8:
Tb2AuI8 | GGA-PBE | relaxed

Geometry as extended XYZ:
```
11
Lattice="10.717 0.486 0.340 1.936 8.685 1.448 1.936 4.349 7.656" Properties=species:S:1:pos:R:3 pbc="T T T"
Tb 8.219 3.300 2.305
Tb 6.370 10.220 7.139
Au 0.000 0.000 0.000
I 2.912 4.052 5.074
I 2.912 6.159 2.058
I 11.677 9.467 4.370
I 5.427 8.036 5.614
I 11.677 7.361 7.385
I 5.332 2.901 2.027
I 9.257 10.618 7.417
I 9.162 5.483 3.830
```

M_tot in μB/f.u.: 0.00
Calculated total energy in eV/atom: -3.1430
Energy relative to the elements, uncorrected in meV per atom: -876